A relaxed CoAuF3 crystal. Source: Alexandria, functional GGA+U.

Results
- N(E_F) (states/eV/cell) = 7.09
- space-group type = Pm-3m, No. 221
- uncorrected energy (eV/cell) = -15.852
- magnetization (μB per formula unit) = 3.22

Cell: 4.429 4.429 4.429 Å, 90.00 90.00 90.00°
Positions (direct):
Co1 0.000 0.000 0.000
Au1 0.500 0.500 0.500
F1 0.000 0.500 0.500
F2 0.500 0.000 0.500
F3 0.500 0.500 0.000


A relaxed CoAu3F crystal. Source: Alexandria, functional GGA+U.

Results
- N(E_F) (states/eV/cell) = 3.40
- space-group type = Pm-3m, No. 221
- uncorrected energy (eV/cell) = -13.421
- magnetization (μB per formula unit) = 2.60

Cell: 4.799 4.799 4.799 Å, 90.00 90.00 90.00°
Positions (direct):
Co1 0.000 0.000 0.000
Au1 0.000 0.000 0.500
Au2 0.000 0.500 0.000
Au3 0.500 0.000 0.000
F1 0.500 0.500 0.500


A relaxed GaCoAuF6 crystal. Source: Alexandria, functional GGA+U.

Results
- N(E_F) (states/eV/cell) = 13.54
- space-group type = P-31c, No. 163
- uncorrected energy (eV/cell) = -77.805
- magnetization (μB per formula unit) = 3.00

Cell: 5.357 5.357 10.636 Å, 90.00 90.00 120.00°
Positions (direct):
Ga1 0.333 0.667 0.250
Ga2 0.667 0.333 0.750
Co1 0.333 0.667 0.750
Co2 0.667 0.333 0.250
Au1 0.000 0.000 0.000
Au2 0.000 0.000 0.500
F1 0.018 0.384 0.149
F2 0.018 0.634 0.351
F3 0.366 0.384 0.351
F4 0.366 0.982 0.149
F5 0.384 0.018 0.649
F6 0.384 0.366 0.851
F7 0.616 0.634 0.149
F8 0.616 0.982 0.351
F9 0.634 0.018 0.851
F10 0.634 0.616 0.649
F11 0.982 0.366 0.649
F12 0.982 0.616 0.851


A relaxed CoIrAu2F crystal. Source: Alexandria, functional GGA+U.

Results
- N(E_F) (states/eV/cell) = 4.32
- space-group type = P4/mmm, No. 123
- uncorrected energy (eV/cell) = -19.365
- magnetization (μB per formula unit) = 2.24

Cell: 5.146 5.146 3.880 Å, 90.00 90.00 90.00°
Positions (direct):
Co1 0.000 0.000 0.000
Ir1 0.500 0.500 0.500
Au1 0.000 0.500 0.500
Au2 0.500 0.000 0.500
F1 0.500 0.500 0.000


A relaxed Mg2CoAuF crystal. Source: Alexandria, functional GGA+U.

Results
- N(E_F) (states/eV/cell) = 2.27
- space-group type = P4/mmm, No. 123
- uncorrected energy (eV/cell) = -13.319
- magnetization (μB per formula unit) = 1.84

Cell: 4.980 4.980 4.678 Å, 90.00 90.00 90.00°
Positions (direct):
Mg1 0.000 0.500 0.000
Mg2 0.500 0.000 0.000
Co1 0.000 0.000 0.000
Au1 0.000 0.000 0.500
F1 0.500 0.500 0.500


A relaxed MnCo2AuF crystal. Source: Alexandria, functional GGA+U.

Results
- N(E_F) (states/eV/cell) = 4.91
- space-group type = P4/mmm, No. 123
- uncorrected energy (eV/cell) = -18.631
- magnetization (μB per formula unit) = 9.97

Cell: 4.877 4.877 4.512 Å, 90.00 90.00 90.00°
Positions (direct):
Mn1 0.000 0.000 0.000
Co1 0.000 0.500 0.500
Co2 0.500 0.000 0.500
Au1 0.500 0.500 0.500
F1 0.500 0.500 0.000


A relaxed CoAuNF2 crystal. Source: Alexandria, functional GGA+U.

Results
- N(E_F) (states/eV/cell) = 3.83
- space-group type = P4/mmm, No. 123
- uncorrected energy (eV/cell) = -18.150
- magnetization (μB per formula unit) = 2.23

Cell: 4.613 4.613 3.774 Å, 90.00 90.00 90.00°
Positions (direct):
Co1 0.000 0.000 0.000
Au1 0.500 0.500 0.500
N1 0.500 0.500 0.000
F1 0.000 0.500 0.500
F2 0.500 0.000 0.500


A relaxed CoAuNF2 crystal. Source: Alexandria, functional GGA+U.

Results
- N(E_F) (states/eV/cell) = 1.57
- space-group type = P4/mmm, No. 123
- uncorrected energy (eV/cell) = -20.822
- magnetization (μB per formula unit) = 1.25

Cell: 4.165 4.165 3.502 Å, 90.00 90.00 90.00°
Positions (direct):
Co1 0.000 0.000 0.000
Au1 0.500 0.500 0.500
N1 0.000 0.000 0.500
F1 0.000 0.500 0.000
F2 0.500 0.000 0.000


The lowest uncorrected energy belongs to which entry?
GaCoAuF6


Number 5 is which compound?
Mg2CoAuF